## V2OsCl (PBE)

Data for crystalline V2OsCl at its relaxed geometry.

POSCAR file:
```
V2OsCl
1.0
6.2367 0.0000 0.0000
0.0000 6.2367 0.0000
3.1183 3.1183 3.3217
Cl V Os
2 4 2
Cartesian
3.1183 3.1183 0.0000
3.1183 6.2367 1.6608
4.6775 4.7844 2.4913
1.6660 4.6775 0.8304
4.5707 1.5592 0.8304
7.7959 7.6890 2.4913
6.2367 3.1183 1.6608
0.0000 0.0000 0.0000
```

## Properties
* formation energy without anion corrections: 0.55 eV/atom
* space-group type: I-42d (122)
* energy relative to the lowest polymorph listed for this composition: 0 meV per atom